DFT (PBE) results for a relaxed Sr4CaNb3O12 crystal.

* VASP energy: -308.76 eV per cell
* formation energy without anion corrections: -55.95 eV/f.u.

a = 8.297 Å, b = 8.297 Å, c = 8.297 Å
α = 90.00°, β = 90.00°, γ = 90.00°
Space group Im-3m (No. 229)
Unique sites:
Sr (0.250, 0.250, 0.250)
Ca (0.000, 0.000, 0.000)
Nb (0.000, 0.000, 0.500)
O (0.000, 0.000, 0.265)
O (0.000, 0.250, 0.500)